# ZrZn2Cr PBE relaxed
data_ZrZn2Cr
_cell_length_a 9.581
_cell_length_b 3.160
_cell_length_c 4.687
_cell_angle_alpha 90.00
_cell_angle_beta 111.95
_cell_angle_gamma 90.00
_symmetry_space_group_name_H-M 'C 1 m 1'
_symmetry_Int_Tables_number 8
loop_
_symmetry_equiv_pos_as_xyz
'x,y,z'
'x,-y,z'
'x+1/2,y+1/2,z'
'x+1/2,-y+1/2,z'
loop_
_atom_site_label
_atom_site_type_symbol
_atom_site_fract_x
_atom_site_fract_y
_atom_site_fract_z
Zr1 Zr 0.000 0.000 0.000
Zn1 Zn 0.230 0.000 0.673
Zn2 Zn 0.497 0.000 0.500
Cr1 Cr 0.256 0.500 0.194
# ΔE to the lowest computed polymorph: 95 meV/atom
# DOS(E_F): 4.31 states/eV per cell

# Zr2ZnCr PBE relaxed
data_Zr2ZnCr
_cell_length_a 3.220
_cell_length_b 3.220
_cell_length_c 7.203
_cell_angle_alpha 90.00
_cell_angle_beta 90.00
_cell_angle_gamma 90.00
_symmetry_space_group_name_H-M 'P 4 m m'
_symmetry_Int_Tables_number 99
loop_
_symmetry_equiv_pos_as_xyz
'x,y,z'
'-y,x,z'
'-x,-y,z'
'y,-x,z'
'-x,y,z'
'y,x,z'
'x,-y,z'
'-y,-x,z'
loop_
_atom_site_label
_atom_site_type_symbol
_atom_site_fract_x
_atom_site_fract_y
_atom_site_fract_z
Zr1 Zr 0.000 0.000 0.000
Zr2 Zr 0.500 0.500 0.303
Zn1 Zn 0.500 0.500 0.736
Cr1 Cr 0.000 0.000 0.545
# DOS(E_F): 3.36 states/eV per cell

# ZrZn2Cr PBE relaxed
data_ZrZn2Cr
_cell_length_a 3.075
_cell_length_b 3.075
_cell_length_c 7.079
_cell_angle_alpha 90.00
_cell_angle_beta 90.00
_cell_angle_gamma 90.00
_symmetry_space_group_name_H-M 'P 4 m m'
_symmetry_Int_Tables_number 99
loop_
_symmetry_equiv_pos_as_xyz
'x,y,z'
'-y,x,z'
'-x,-y,z'
'y,-x,z'
'-x,y,z'
'y,x,z'
'x,-y,z'
'-y,-x,z'
loop_
_atom_site_label
_atom_site_type_symbol
_atom_site_fract_x
_atom_site_fract_y
_atom_site_fract_z
Zr1 Zr 0.000 0.000 0.000
Zn1 Zn 0.000 0.000 0.475
Zn2 Zn 0.500 0.500 0.698
Cr1 Cr 0.500 0.500 0.257
# ΔE to the lowest computed polymorph: 61 meV/atom
# DOS(E_F): 1.55 states/eV per cell

Summary of energy relative to the elements in eV/atom
0.084 0.069 0.050
(order as listed above)